A geometry-optimized NaAs12Ru4 structure. Source: Alexandria, functional PBE.

Geometry as extended XYZ:
```
17
Lattice="-4.378 -5.869 1.384 3.672 -1.092 -6.391 4.888 0.819 5.564" Properties=species:S:1:pos:R:3 pbc="T T T"
Ru -2.189 -2.934 0.692
Ru 2.444 0.410 2.782
Ru 2.091 -3.071 0.279
Ru 1.836 -0.546 -3.195
As 0.074 -2.809 1.691
As 0.818 -4.560 -3.374
As -1.451 -5.212 0.058
As 3.079 -0.848 0.746
As 5.633 -0.930 0.499
As 4.108 -3.333 -1.134
As 3.956 -1.826 -3.207
As 3.154 -3.659 2.437
As 3.364 -1.582 3.931
As 0.226 -4.316 3.765
As 1.104 -5.293 -0.189
As 1.028 -2.482 -1.880
Na 0.000 0.000 0.000
```

Computed properties:
* energy relative to the elements: -0.2892 eV per atom
* total magnetic moment: 0.000 μB/cell
* raw total energy: -5.83 eV/atom
* density: 6.92 g/cm³
* symmetry: Im-3